The following is a GGA-PBE calculation of Pm7ZnI12 after structural relaxation, from Alexandria.

Computed properties:
Raw formation energy ... -1.205 eV per atom
Total magnetization ... 0.00 Bohr magnetons per cell

```
Pm7ZnI12
1.0
9.484 -0.228 -2.903
-3.863 8.664 -2.903
-0.152 -0.228 9.917
Pm I Zn
7 12 1
Cartesian
2.735 4.105 2.055 Pm
6.365 5.479 4.069 Pm
2.869 7.351 4.982 Pm
4.633 7.984 1.370 Pm
-0.895 2.731 0.041 Pm
2.601 0.858 -0.872 Pm
0.836 0.225 2.740 Pm
3.694 7.748 -1.810 I
1.775 0.461 5.921 I
3.836 1.145 2.069 I
5.589 4.949 1.001 I
5.616 1.816 -1.894 I
1.633 7.064 2.041 I
-0.120 3.260 3.109 I
7.424 2.327 4.052 I
-0.146 6.393 6.004 I
-1.955 5.882 0.059 I
3.598 4.228 5.090 I
1.871 3.981 -0.979 I
0.000 0.000 0.000 Zn
```